1.
First-principles (SCAN) data for TcTeSe2 at its PBEsol-relaxed geometry, as listed in Alexandria via LeMat-Bulk.

Structure (CIF):
```
data_TcTeSe2
_chemical_formula_sum 'Tc2 Te2 Se4'
_space_group_name_H-M_alt 'I 4/m m m'
_space_group_IT_number 139
_space_group_name_Hall '-I 4 2'
_cell_length_a 5.4465
_cell_length_b 5.4465
_cell_length_c 5.3694
_cell_angle_alpha 90.00
_cell_angle_beta 90.00
_cell_angle_gamma 90.00
loop_
_atom_site_label
_atom_site_type_symbol
_atom_site_fract_x
_atom_site_fract_y
_atom_site_fract_z
Tc1 Tc 0.0000 0.0000 0.0000
Te1 Te 0.0000 0.0000 0.5000
Se1 Se 0.0000 0.5000 0.0000
```

Summary:
formation energy without anion corrections	0.407	eV/atom
V	159.3	Å³/cell
total moment	0.000	μB/atom

***

2.
First-principles (SCAN) data for FeOs2Br at its PBEsol-relaxed geometry, as listed in Alexandria via LeMat-Bulk.

Structure (CIF):
```
data_FeOs2Br
_chemical_formula_sum 'Fe3 Os6 Br3'
_space_group_name_H-M_alt 'R -3 m'
_space_group_IT_number 166
_space_group_name_Hall '-R 3 2"'
_cell_length_a 2.6722
_cell_length_b 2.6722
_cell_length_c 33.2629
_cell_angle_alpha 90.00
_cell_angle_beta 90.00
_cell_angle_gamma 120.00
loop_
_atom_site_label
_atom_site_type_symbol
_atom_site_fract_x
_atom_site_fract_y
_atom_site_fract_z
Fe1 Fe 0.0000 0.0000 0.0000
Os1 Os 0.0000 0.0000 0.2738
Br1 Br 0.0000 0.0000 0.5000
```

Summary:
formation energy without anion corrections	0.856	eV/atom
V	205.7	Å³/cell
total moment	0.558	μB/atom
energy above the lowest structure with this stoichiometry	0	meV per atom

***

3.
First-principles (SCAN) data for Ba3AlBi at its PBEsol-relaxed geometry, as listed in Alexandria via LeMat-Bulk.

Structure (CIF):
```
data_Ba3AlBi
_chemical_formula_sum 'Ba3 Al1 Bi1'
_space_group_name_H-M_alt 'P m -3 m'
_space_group_IT_number 221
_space_group_name_Hall '-P 4 2 3'
_cell_length_a 6.2161
_cell_length_b 6.2161
_cell_length_c 6.2161
_cell_angle_alpha 90.00
_cell_angle_beta 90.00
_cell_angle_gamma 90.00
loop_
_atom_site_label
_atom_site_type_symbol
_atom_site_fract_x
_atom_site_fract_y
_atom_site_fract_z
Ba1 Ba 0.0000 0.0000 0.5000
Al1 Al 0.0000 0.0000 0.0000
Bi1 Bi 0.5000 0.5000 0.5000
```

Summary:
E_form	-12	kJ per mole of atoms
V	240.2	Å³/cell
total moment	0.000	μB/atom

***

4.
First-principles (SCAN) data for In5Pt11 at its PBEsol-relaxed geometry, as listed in Alexandria via LeMat-Bulk.

Structure (CIF):
```
data_In5Pt11
_chemical_formula_sum 'In5 Pt11'
_space_group_name_H-M_alt 'P 1 2/m 1'
_space_group_IT_number 10
_cell_length_a 5.6551
_cell_length_b 4.0483
_cell_length_c 11.3255
_cell_angle_alpha 90.00
_cell_angle_beta 91.82
_cell_angle_gamma 90.00
loop_
_space_group_symop_operation_xyz
'x,y,z'
'-x,-y,-z'
'-x,y,-z'
'x,-y,z'
loop_
_atom_site_label
_atom_site_type_symbol
_atom_site_fract_x
_atom_site_fract_y
_atom_site_fract_z
In1 In 0.0000 0.0000 0.0000
In2 In 0.2435 0.5000 0.3740
In3 In 0.2840 0.5000 0.8617
Pt1 Pt 0.0000 0.0000 0.5000
Pt2 Pt 0.0148 0.0000 0.7519
Pt3 Pt 0.2274 0.5000 0.1186
Pt4 Pt 0.2524 0.5000 0.6205
Pt5 Pt 0.4815 0.0000 0.2528
Pt6 Pt 0.5000 0.0000 0.0000
Pt7 Pt 0.5000 0.0000 0.5000
```

Summary:
E_form	-41	kJ per mole of atoms
V	259.1	Å³/cell
total moment	0.000	μB/atom

***

5.
First-principles (SCAN) data for Ag2AuBr at its PBEsol-relaxed geometry, as listed in Alexandria via LeMat-Bulk.

Structure (CIF):
```
data_Ag2AuBr
_chemical_formula_sum 'Ag8 Au4 Br4'
_space_group_name_H-M_alt 'F m -3 m'
_space_group_IT_number 225
_space_group_name_Hall '-F 4 2 3'
_cell_length_a 6.7077
_cell_length_b 6.7077
_cell_length_c 6.7077
_cell_angle_alpha 90.00
_cell_angle_beta 90.00
_cell_angle_gamma 90.00
loop_
_atom_site_label
_atom_site_type_symbol
_atom_site_fract_x
_atom_site_fract_y
_atom_site_fract_z
Ag1 Ag 0.2500 0.2500 0.2500
Au1 Au 0.0000 0.0000 0.0000
Br1 Br 0.0000 0.0000 0.5000
```

Summary:
formation energy without anion corrections	0.164	eV/atom
V	301.8	Å³/cell
total moment	0.000	μB/atom
energy above the lowest structure with this stoichiometry	160	meV per atom

***

6.
First-principles (SCAN) data for Li9Mn7O16 at its PBEsol-relaxed geometry, as listed in Alexandria via LeMat-Bulk.

Structure (CIF):
```
data_Li9Mn7O16
_chemical_formula_sum 'Li18 Mn14 O32'
_space_group_name_H-M_alt 'C 1 2/m 1'
_space_group_IT_number 12
_cell_length_a 19.2741
_cell_length_b 2.8053
_cell_length_c 10.4977
_cell_angle_alpha 90.00
_cell_angle_beta 99.22
_cell_angle_gamma 90.00
loop_
_space_group_symop_operation_xyz
'x,y,z'
'-x,-y,-z'
'-x,y,-z'
'x,-y,z'
'x+1/2,y+1/2,z'
'-x+1/2,-y+1/2,-z'
'-x+1/2,y+1/2,-z'
'x+1/2,-y+1/2,z'
loop_
_atom_site_label
_atom_site_type_symbol
_atom_site_fract_x
_atom_site_fract_y
_atom_site_fract_z
Li1 Li 0.0000 0.0000 0.0000
Li2 Li 0.1174 0.5000 0.9527
Li3 Li 0.1194 0.0000 0.7009
Li4 Li 0.1238 0.0000 0.1885
Li5 Li 0.1286 0.5000 0.4267
Mn1 Mn 0.0000 0.0000 0.5000
Mn2 Mn 0.0063 0.5000 0.2369
Mn3 Mn 0.2441 0.5000 0.6244
Mn4 Mn 0.2488 0.0000 0.8754
O1 O 0.0484 0.5000 0.6037
O2 O 0.0536 0.0000 0.8371
O3 O 0.0583 0.5000 0.1108
O4 O 0.0608 0.0000 0.3322
O5 O 0.1858 0.0000 0.5432
O6 O 0.1886 0.5000 0.7973
O7 O 0.1907 0.0000 0.0471
O8 O 0.1963 0.5000 0.2979
```

Summary:
formation energy without anion corrections	-2.248	eV/atom
V	560.3	Å³/cell
total moment	0.813	μB/atom

***

7.
First-principles (SCAN) data for SbSe2Cl at its PBEsol-relaxed geometry, as listed in Alexandria via LeMat-Bulk.

Structure (CIF):
```
data_SbSe2Cl
_chemical_formula_sum 'Sb2 Se4 Cl2'
_space_group_name_H-M_alt 'C 1 m 1'
_space_group_IT_number 8
_cell_length_a 9.7953
_cell_length_b 3.8884
_cell_length_c 6.9427
_cell_angle_alpha 90.00
_cell_angle_beta 113.78
_cell_angle_gamma 90.00
loop_
_space_group_symop_operation_xyz
'x,y,z'
'x,-y,z'
'x+1/2,y+1/2,z'
'x+1/2,-y+1/2,z'
loop_
_atom_site_label
_atom_site_type_symbol
_atom_site_fract_x
_atom_site_fract_y
_atom_site_fract_z
Sb1 Sb 0.0000 0.0000 0.0000
Se1 Se 0.2767 0.0000 0.7921
Se2 Se 0.4899 0.0000 0.7007
Cl1 Cl 0.1513 0.5000 0.2877
```

Summary:
formation energy without anion corrections	-0.217	eV/atom
V	242.0	Å³/cell
total moment	0.000	μB/atom
energy above the lowest structure with this stoichiometry	0	meV per atom

***

8.
First-principles (SCAN) data for Ca2PbW at its PBEsol-relaxed geometry, as listed in Alexandria via LeMat-Bulk.

Structure (CIF):
```
data_Ca2PbW
_chemical_formula_sum 'Ca2 Pb1 W1'
_space_group_name_H-M_alt 'P 4 m m'
_space_group_IT_number 99
_cell_length_a 3.6282
_cell_length_b 3.6282
_cell_length_c 8.1210
_cell_angle_alpha 90.00
_cell_angle_beta 90.00
_cell_angle_gamma 90.00
loop_
_space_group_symop_operation_xyz
'x,y,z'
'-y,x,z'
'-x,-y,z'
'y,-x,z'
'-x,y,z'
'y,x,z'
'x,-y,z'
'-y,-x,z'
loop_
_atom_site_label
_atom_site_type_symbol
_atom_site_fract_x
_atom_site_fract_y
_atom_site_fract_z
Ca1 Ca 0.0000 0.0000 0.0000
Ca2 Ca 0.5000 0.5000 0.3721
Pb1 Pb 0.0000 0.0000 0.6136
W1 W 0.5000 0.5000 0.7652
```

Summary:
E_form	49	kJ per mole of atoms
V	106.9	Å³/cell
total moment	0.000	μB/atom

***

9.
First-principles (SCAN) data for Na2ZnSiO at its PBEsol-relaxed geometry, as listed in Alexandria via LeMat-Bulk.

Structure (CIF):
```
data_Na2ZnSiO
_chemical_formula_sum 'Na2 Zn1 Si1 O1'
_space_group_name_H-M_alt 'P 4/m m m'
_space_group_IT_number 123
_space_group_name_Hall '-P 4 2'
_cell_length_a 5.7407
_cell_length_b 5.7407
_cell_length_c 3.4366
_cell_angle_alpha 90.00
_cell_angle_beta 90.00
_cell_angle_gamma 90.00
loop_
_atom_site_label
_atom_site_type_symbol
_atom_site_fract_x
_atom_site_fract_y
_atom_site_fract_z
Na1 Na 0.0000 0.5000 0.0000
Zn1 Zn 0.0000 0.0000 0.0000
Si1 Si 0.5000 0.5000 0.5000
O1 O 0.0000 0.0000 0.5000
```

Summary:
formation energy without anion corrections	-0.012	eV/atom
V	113.3	Å³/cell
total moment	0.000	μB/atom

***

10.
First-principles (SCAN) data for CdNi3 at its PBEsol-relaxed geometry, as listed in Alexandria via LeMat-Bulk.

Structure (CIF):
```
data_CdNi3
_chemical_formula_sum 'Cd1 Ni3'
_space_group_name_H-M_alt 'P -6 m 2'
_space_group_IT_number 187
_space_group_name_Hall 'P -6 2'
_cell_length_a 2.6552
_cell_length_b 2.6552
_cell_length_c 8.2689
_cell_angle_alpha 90.00
_cell_angle_beta 90.00
_cell_angle_gamma 120.00
loop_
_atom_site_label
_atom_site_type_symbol
_atom_site_fract_x
_atom_site_fract_y
_atom_site_fract_z
Cd1 Cd 0.0000 0.0000 0.0000
Ni1 Ni 0.0000 0.0000 0.5000
Ni2 Ni 0.6667 0.3333 0.2741
```

Summary:
E_form	27	kJ per mole of atoms
V	50.5	Å³/cell
total moment	0.546	μB/atom